1.
NdTcO3: optimized geometry, PBE. Values from VASP.

```
&SYSTEM
  ibrav = 0, nat = 10, ntyp = 3
/
ATOMIC_SPECIES
Nd 144.24 Nd.upf
Tc 98.00 Tc.upf
O 16.00 O.upf
CELL_PARAMETERS angstrom
2.886 1.666 4.198
-2.886 1.666 4.198
0.000 -3.332 4.198
ATOMIC_POSITIONS crystal
Nd 0.250 0.250 0.250
Nd 0.750 0.750 0.750
Tc 0.000 0.000 0.000
Tc 0.500 0.500 0.500
O 0.155 0.750 0.345
O 0.250 0.655 0.845
O 0.345 0.155 0.750
O 0.655 0.845 0.250
O 0.750 0.345 0.155
O 0.845 0.250 0.655
```

***

2.
NdTcO3: optimized geometry, PBE. Values from VASP.

```
&SYSTEM
  ibrav = 0, nat = 10, ntyp = 3
/
ATOMIC_SPECIES
Nd 144.24 Nd.upf
Tc 98.00 Tc.upf
O 16.00 O.upf
CELL_PARAMETERS angstrom
2.843 1.641 4.870
-2.843 1.641 4.870
0.000 -3.282 4.870
ATOMIC_POSITIONS crystal
Nd 0.135 0.135 0.135
Nd 0.865 0.865 0.865
Tc 0.339 0.339 0.339
Tc 0.661 0.661 0.661
O 0.061 0.455 0.711
O 0.289 0.939 0.545
O 0.455 0.711 0.061
O 0.545 0.289 0.939
O 0.711 0.061 0.455
O 0.939 0.545 0.289
```

***

3.
Nd2Tc2O7: optimized geometry, PBE. Values from VASP.

```
&SYSTEM
  ibrav = 0, nat = 11, ntyp = 3
/
ATOMIC_SPECIES
Nd 144.24 Nd.upf
Tc 98.00 Tc.upf
O 16.00 O.upf
CELL_PARAMETERS angstrom
4.842 -3.723 0.000
4.842 3.723 0.000
-4.442 0.000 4.980
ATOMIC_POSITIONS crystal
Nd 0.000 0.000 0.000
Nd 0.520 0.520 0.788
Tc 0.001 0.001 0.526
Tc 0.490 0.490 0.253
O 0.235 0.853 0.733
O 0.320 0.693 0.092
O 0.323 0.323 0.308
O 0.684 0.684 0.622
O 0.693 0.320 0.092
O 0.843 0.843 0.157
O 0.853 0.235 0.733
```

***

| no. | calculated volume (Å³/f.u.) | calculated total energy (eV per atom) |
| --- | --- | --- |
| 1 | 61 | -8.15 |
| 2 | 68 | -8.01 |
| 3 | 180 | -7.95 |